SiAs3Br | GGA-PBE | relaxed

abc: 4.856 4.856 4.856
angles: 90.00 90.00 90.00
Sites, in units of the cell vectors:
1 Si 0.000 0.000 0.000
2 As 0.000 0.000 0.500
3 As 0.000 0.500 0.000
4 As 0.500 0.000 0.000
5 Br 0.500 0.500 0.500

Properties
Formation energy without anion corrections   0.666 eV per atom
Space group   Pm-3m
Excess energy over the best structure of this formula in the dataset   0.0 kJ/mol of atoms

---

SiAsBr2 | GGA-PBE | relaxed

abc: 5.024 5.024 5.024
angles: 60.00 60.00 60.00
Sites, in units of the cell vectors:
1 Si 0.000 0.000 0.000
2 As 0.500 0.500 0.500
3 Br 0.250 0.250 0.250
4 Br 0.750 0.750 0.750

Properties
Formation energy without anion corrections   0.683 eV per atom
Space group   Fm-3m
Excess energy over the best structure of this formula in the dataset   85.0 kJ/mol of atoms